Entry 1:
Compound: HfTiCu3
Source: Alexandria
Functional: PBE-GGA
Structure: optimized geometry

Calculated values
Its space group is Pm-3m. The density of states at the Fermi level is 5.79 states/eV/cell. The calculation puts the formation energy at 0.883 eV/atom. The theoretical density is 7.80 g/cm3. The value obtained for the magnetization is 0.5 μB/f.u.

Geometry as extended XYZ:
```
5
Lattice="4.4619 0.0000 0.0000 0.0000 4.4619 0.0000 0.0000 0.0000 4.4619" Properties=species:S:1:pos:R:3 pbc="T T T"
Hf 2.2309 2.2309 2.2309
Cu 0.0000 2.2309 0.0000
Cu 0.0000 0.0000 2.2309
Cu 2.2309 0.0000 0.0000
Ti 0.0000 0.0000 0.0000
```


Entry 2:
Compound: HfTiCu2
Source: Alexandria
Functional: PBE-GGA
Structure: optimized geometry

Calculated values
Its space group is Fm-3m. The density of states at the Fermi level is 2.58 states/eV/cell. The calculation puts the formation energy at -0.079 eV/atom. The theoretical density is 9.23 g/cm3. The value obtained for the magnetization is 1.6 μB/f.u.

Geometry as extended XYZ:
```
4
Lattice="-3.1461 -3.1446 0.5379 -2.8490 0.2483 3.4492 -4.3088 0.9955 -0.7205" Properties=species:S:1:pos:R:3 pbc="T T T"
Hf -5.1520 -0.9504 1.6333
Cu -2.5760 -0.4752 0.8167
Cu -7.7279 -1.4255 2.4500
Ti 0.0000 0.0000 0.0000
```


Entry 3:
Compound: Hf2TiCu2
Source: Alexandria
Functional: PBE-GGA
Structure: optimized geometry

Calculated values
Its space group is P4/mbm. The density of states at the Fermi level is 10.81 states/eV/cell. The calculation puts the formation energy at 0.150 eV/atom. The theoretical density is 9.98 g/cm3. The value obtained for the magnetization is 0.7 μB/f.u.

Geometry as extended XYZ:
```
10
Lattice="-6.1147 2.7550 3.4731 -3.7509 -0.0615 -6.5551 -0.9709 -2.8894 0.5826" Properties=species:S:1:pos:R:3 pbc="T T T"
Hf -5.1901 0.8743 -4.3131
Hf -7.6024 2.2623 -1.4492
Hf -4.6754 1.8192 1.2310
Hf -2.2631 0.4312 -1.6328
Cu -3.6458 -1.1246 -3.3876
Cu -7.6015 0.2381 -3.2211
Cu -7.1907 0.9287 0.8882
Cu -3.2349 -0.4341 0.7218
Ti 0.0000 0.0000 0.0000
Ti -4.9328 1.3467 -1.5410
```


Entry 4:
Compound: HfTiVCu
Source: Alexandria
Functional: PBE-GGA
Structure: optimized geometry

Calculated values
Its space group is F-43m. The density of states at the Fermi level is 5.27 states/eV/cell. The calculation puts the formation energy at 0.074 eV/atom. The theoretical density is 8.76 g/cm3. The value obtained for the magnetization is 1.3 μB/f.u.

Geometry as extended XYZ:
```
4
Lattice="-2.4488 -3.2404 1.9472 -0.9054 -3.7969 -2.2476 1.9539 -3.8669 1.2319" Properties=species:S:1:pos:R:3 pbc="T T T"
Ti -0.3501 -2.7260 0.2329
Hf -1.0502 -8.1781 0.6986
Cu -0.7001 -5.4521 0.4657
V 0.0000 0.0000 0.0000
```


Entry 5:
Compound: HfTiZnCu2
Source: Alexandria
Functional: PBE-GGA
Structure: optimized geometry

Calculated values
Its space group is P4/mmm. The density of states at the Fermi level is 3.51 states/eV/cell. The calculation puts the formation energy at 1.092 eV/atom. The theoretical density is 6.81 g/cm3. The value obtained for the magnetization is 0.0 μB/f.u.

Geometry as extended XYZ:
```
5
Lattice="-4.2057 -1.8976 0.5975 0.9033 -0.5537 4.6000 -1.7791 4.2127 0.8564" Properties=species:S:1:pos:R:3 pbc="T T T"
Zn -2.5408 0.8807 3.0269
Hf 0.4516 -0.2768 2.3000
Cu -0.8895 2.1064 0.4282
Cu -2.1029 -0.9488 0.2987
Ti 0.0000 0.0000 0.0000
```


Entry 6:
Compound: HfZrTiCu
Source: Alexandria
Functional: PBE-GGA
Structure: optimized geometry

Calculated values
Its space group is P4mm. The density of states at the Fermi level is 3.57 states/eV/cell. The calculation puts the formation energy at -0.067 eV/atom. The theoretical density is 8.48 g/cm3. The value obtained for the magnetization is 0.0 μB/f.u.

Geometry as extended XYZ:
```
4
Lattice="3.1033 0.0000 0.0000 0.0000 3.1033 0.0000 0.0000 0.0000 7.7457" Properties=species:S:1:pos:R:3 pbc="T T T"
Hf 1.5516 1.5516 6.1912
Zr 0.0000 0.0000 0.7461
Ti 0.0000 0.0000 4.1904
Cu 1.5516 1.5516 2.6961
```


Entry 7:
Compound: HfTlCu
Source: Alexandria
Functional: PBE-GGA
Structure: optimized geometry

Calculated values
Its space group is I4mm. The density of states at the Fermi level is 2.27 states/eV/cell. The calculation puts the formation energy at 0.106 eV/atom. The theoretical density is 12.68 g/cm3. The value obtained for the magnetization is 0.0 μB/f.u.

Geometry as extended XYZ:
```
3
Lattice="-1.3487 2.0063 -2.0612 -0.9477 -2.4593 -1.7738 -3.8056 -0.0255 4.9135" Properties=species:S:1:pos:R:3 pbc="T T T"
Tl -2.9405 -0.1496 1.7784
Hf -2.0971 -0.2748 -1.3436
Cu -5.6802 -0.4571 0.8235
```


Entry 8:
Compound: HfTlCu
Source: Alexandria
Functional: PBE-GGA
Structure: optimized geometry

Calculated values
Its space group is P6_3/mmc. The density of states at the Fermi level is 1.48 states/eV/cell. The calculation puts the formation energy at 0.328 eV/atom. The theoretical density is 12.49 g/cm3. The value obtained for the magnetization is 0.0 μB/f.u.

Geometry as extended XYZ:
```
6
Lattice="-3.9335 2.3607 1.5883 0.6952 -0.6287 -4.7633 -2.9190 -5.0232 0.2369" Properties=species:S:1:pos:R:3 pbc="T T T"
Tl -1.5775 -0.8880 -2.5869
Tl -4.5799 -2.4031 -0.3512
Hf -3.0370 -3.3996 -2.4684
Hf -3.1204 0.1085 -0.4697
Cu 0.0000 0.0000 0.0000
Cu -1.4595 -2.5116 0.1185
```